Entry from Alexandria via LeMat-Bulk: a relaxed InTcSeBr2 crystal (PBE).

POSCAR file:
```
InTcSeBr2
1.0
5.369 0.000 0.000
0.000 5.369 0.000
0.000 0.000 4.758
Se Tc Br In
1 1 2 1
Direct
0.000 0.000 0.500
0.000 0.000 0.000
0.000 0.500 0.000
0.500 0.000 0.000
0.500 0.500 0.500
```

Computed properties:
The space-group type is P4/mmm. The value obtained for the calculated density is 5.47 g/cm³. Its density of states at the Fermi level is 0.589 states/eV/atom. As for the formation energy (no corrections): -0.07 eV per atom. The energy above the most stable polymorph in this dataset comes out at 0.0 meV/atom.